Record 1
AcTb6Sm3Er2 after structural relaxation, computed with PBE.

Lattice parameters (Å, degrees): 6.239 6.239 11.951 94.98 94.98 119.98
Atoms (fractional coordinates):
1 Ac 0.000 0.000 0.000
2 Tb 0.084 0.421 0.252
3 Tb 0.252 0.252 0.748
4 Tb 0.421 0.084 0.252
5 Tb 0.579 0.916 0.748
6 Tb 0.748 0.748 0.252
7 Tb 0.916 0.579 0.748
8 Sm 0.167 0.833 0.500
9 Sm 0.500 0.500 0.500
10 Sm 0.833 0.167 0.500
11 Er 0.333 0.667 0.000
12 Er 0.667 0.333 0.000

Summary:
Energy of formation from the pure elements   0.03 eV/atom
N(E_F)   15.2 states/eV per cell


Record 2
ThMgSnAu after structural relaxation, computed with PBE.

Lattice parameters (Å, degrees): 5.184 5.184 5.184 60.00 60.00 60.00
Atoms (fractional coordinates):
1 Th 0.000 0.000 0.000
2 Mg 0.500 0.500 0.500
3 Sn 0.750 0.750 0.750
4 Au 0.250 0.250 0.250

Summary:
Energy of formation from the pure elements   -0.45 eV/atom
N(E_F)   4.3 states/eV per cell


Record 3
LaTb3PrDy after structural relaxation, computed with PBE.

Lattice parameters (Å, degrees): 9.712 3.646 12.139 90.00 110.36 90.00
Atoms (fractional coordinates):
1 La 0.182 0.250 0.344
2 La 0.818 0.750 0.656
3 Tb 0.071 0.250 0.906
4 Tb 0.323 0.750 0.149
5 Tb 0.435 0.750 0.601
6 Tb 0.565 0.250 0.399
7 Tb 0.677 0.250 0.851
8 Tb 0.929 0.750 0.094
9 Pr 0.132 0.250 0.629
10 Pr 0.868 0.750 0.371
11 Dy 0.377 0.750 0.879
12 Dy 0.623 0.250 0.121

Summary:
Energy of formation from the pure elements   0.01 eV/atom
N(E_F)   16.9 states/eV per cell


Record 4
Na3CuPb3O8 after structural relaxation, computed with PBE.

Lattice parameters (Å, degrees): 6.651 6.651 6.832 119.37 119.37 61.23
Atoms (fractional coordinates):
1 Na 0.000 0.000 0.000
2 Na 0.000 0.500 0.000
3 Na 0.500 0.000 0.000
4 Cu 0.000 0.000 0.500
5 Pb 0.000 0.500 0.500
6 Pb 0.500 0.000 0.500
7 Pb 0.500 0.500 0.500
8 O 0.215 0.215 0.686
9 O 0.241 0.730 0.705
10 O 0.254 0.254 0.268
11 O 0.270 0.759 0.295
12 O 0.730 0.241 0.705
13 O 0.746 0.746 0.732
14 O 0.759 0.270 0.295
15 O 0.785 0.785 0.314

Summary:
Formation energy without anion corrections   -1.039 eV per atom
N(E_F)   3.5 states/eV per cell